VASP calculation (GGA-PBE) on an optimized crystal structure of YAgHg4.

Lattice parameters (Å, degrees): 5.885 5.885 5.885 60.00 60.00 60.00
Positions (direct):
Hg 0.875 0.375 0.375
Y 0.750 0.750 0.750
Hg 0.375 0.375 0.375
Hg 0.375 0.875 0.375
Ag 0.000 0.000 0.000
Hg 0.375 0.375 0.875

Output
The formation enthalpy at 0 K comes out at 10 kJ/mol of formula units. The value obtained for the calculated volume is 24.0 Å³/atom. As for the space-group type: No. 216. The calculation puts the size of the total moment at 0.0 μB/f.u.

***

VASP calculation (GGA-PBE) on an optimized crystal structure of KCaZnBi.

Lattice parameters (Å, degrees): 5.634 5.634 5.634 60.00 60.00 60.00
Positions (direct):
K 0.500 0.500 0.500
Bi 0.250 0.250 0.250
Ca 0.000 0.000 0.000
Zn 0.750 0.750 0.750

Output
The formation enthalpy at 0 K comes out at -131 kJ/mol of formula units. The value obtained for the calculated volume is 31.6 Å³/atom. As for the space-group type: No. 216. The calculation puts the size of the total moment at 0.0 μB/f.u.

***

VASP calculation (GGA-PBE) on an optimized crystal structure of Cs14Pr2Se9.

Lattice parameters (Å, degrees): 10.218 10.218 14.241 90.00 90.00 120.00
Positions (direct):
Cs 0.906 0.602 0.402
Cs 0.369 0.050 0.093
Cs 0.000 0.000 0.748
Se 0.097 0.380 0.339
Se 0.717 0.097 0.661
Cs 0.602 0.696 0.598
Cs 0.094 0.398 0.598
Cs 0.050 0.681 0.907
Se 0.333 0.667 0.070
Se 0.380 0.283 0.661
Cs 0.631 0.950 0.907
Se 0.283 0.903 0.339
Cs 0.319 0.369 0.907
Cs 0.681 0.631 0.093
Se 0.000 0.000 0.000
Cs 0.398 0.304 0.402
Cs 0.696 0.094 0.402
Se 0.903 0.620 0.661
Se 0.620 0.717 0.339
Pr 0.667 0.333 0.729
Cs 0.950 0.319 0.093
Cs 0.000 0.000 0.252
Cs 0.304 0.906 0.598
Pr 0.333 0.667 0.271
Se 0.667 0.333 0.930

Output
The value obtained for the energy relative to the elements, uncorrected is -1.170 eV/atom. The value obtained for the calculated volume is 51.5 Å³/atom. As for the space-group type: No. 147. The calculation puts the size of the total moment at 1.4 μB/f.u.

***

VASP calculation (GGA-PBE) on an optimized crystal structure of MgAl2Ga.

Lattice parameters (Å, degrees): 4.232 4.113 4.113 90.00 90.00 90.00
Positions (direct):
Al 0.000 0.000 0.500
Al 0.000 0.500 0.000
Mg 0.500 0.500 0.500
Ga 0.500 0.000 0.000

Output
The formation enthalpy at 0 K comes out at -9 kJ/mol of formula units. The value obtained for the calculated volume is 17.9 Å³/atom. As for the space-group type: No. 123. The calculation puts the size of the total moment at 0.0 μB/f.u.

***

VASP calculation (GGA-PBE) on an optimized crystal structure of ZrAg2PPt.

Lattice parameters (Å, degrees): 5.249 4.871 5.249 90.00 90.00 90.00
Positions (direct):
P 0.500 0.500 0.500
Pt 0.000 0.500 0.000
Zr 0.000 0.000 0.000
Ag 0.500 0.000 0.000
Ag 0.000 0.000 0.500

Output
The formation enthalpy at 0 K comes out at 680 kJ/mol of formula units. The value obtained for the calculated volume is 26.8 Å³/atom. As for the space-group type: No. 123. The calculation puts the size of the total moment at 0.0 μB/f.u.

***

VASP calculation (GGA-PBE) on an optimized crystal structure of AcLuSc2.

Lattice parameters (Å, degrees): 5.542 5.542 5.542 60.00 60.00 60.00
Positions (direct):
Sc 0.750 0.750 0.750
Lu 0.000 0.000 0.000
Sc 0.250 0.250 0.250
Ac 0.500 0.500 0.500

Output
The formation enthalpy at 0 K comes out at 44 kJ/mol of formula units. The value obtained for the calculated volume is 30.1 Å³/atom. As for the space-group type: No. 225. The calculation puts the size of the total moment at 0.0 μB/f.u.

***

VASP calculation (GGA-PBE) on an optimized crystal structure of PmDyHo4Tm2.

Lattice parameters (Å, degrees): 9.451 9.451 11.696 128.23 128.23 88.83
Each line ends with the local moment (μB).
Positions (direct):
Ho 0.254 0.249 0.000  0.33
Dy 0.500 0.500 0.500  0.34
Tm 0.000 0.000 0.500  0.31
Ho 0.251 0.246 0.500  0.33
Ho 0.746 0.250 0.998  0.32
Ho 0.749 0.755 0.500  0.33
Tm 0.500 0.500 0.000  0.31
Pm 0.000 0.500 0.000  0.30
Ho 0.745 0.751 0.000  0.33
Ho 0.254 0.750 0.002  0.32
Ho 0.750 0.246 0.498  0.32
Ho 0.250 0.754 0.502  0.32
Tm 0.500 0.000 0.500  0.28
Pm 0.000 0.500 0.500  0.30
Dy 0.000 0.000 0.000  0.34
Tm 0.500 0.000 0.000  0.28

Output
The formation enthalpy at 0 K comes out at 343 kJ/mol of formula units. The value obtained for the calculated volume is 32.6 Å³/atom. As for the space-group type: No. 15. The calculation puts the size of the total moment at 3.3 μB/f.u.

***

VASP calculation (GGA-PBE) on an optimized crystal structure of Ce2DySi6.

Lattice parameters (Å, degrees): 4.070 7.047 7.047 120.00 90.00 90.00
Positions (direct):
Si 0.500 0.667 0.000
Ce 0.000 0.667 0.333
Si 0.500 0.000 0.333
Ce 0.000 0.333 0.667
Si 0.500 0.333 0.000
Si 0.500 0.667 0.667
Si 0.500 0.333 0.333
Si 0.500 0.000 0.667
Dy 0.000 0.000 0.000

Output
The value obtained for the energy relative to the elements, uncorrected is -0.630 eV/atom. The value obtained for the calculated volume is 19.4 Å³/atom. As for the space-group type: No. 191. The calculation puts the size of the total moment at 0.0 μB/f.u.

***

VASP calculation (GGA-PBE) on an optimized crystal structure of KCa4Au.

Lattice parameters (Å, degrees): 7.114 7.114 7.114 60.00 60.00 60.00
Positions (direct):
Ca 0.374 0.374 0.374
Ca 0.374 0.877 0.374
Ca 0.877 0.374 0.374
Ca 0.374 0.374 0.877
Au 0.000 0.000 0.000
K 0.750 0.750 0.750

Output
The formation enthalpy at 0 K comes out at 175 kJ/mol of formula units. The value obtained for the calculated volume is 42.4 Å³/atom. As for the space-group type: No. 216. The calculation puts the size of the total moment at 0.0 μB/f.u.

***

VASP calculation (GGA-PBE) on an optimized crystal structure of Cs2LiNb2O7.

Lattice parameters (Å, degrees): 4.090 4.090 12.398 81.54 81.54 89.91
Each line ends with the local moment (μB).
Positions (direct):
Li 0.000 0.000 0.000  0.00
O 0.595 0.089 0.843  0.12
O 0.911 0.405 0.157  0.12
Cs 0.194 0.194 0.625  0.00
O 0.405 0.911 0.157  0.12
Nb 0.620 0.620 0.831  -0.06
Nb 0.380 0.380 0.169  -0.06
O 0.339 0.339 0.325  0.06
O 0.089 0.595 0.843  0.12
O 0.500 0.500 0.000  0.30
O 0.661 0.661 0.675  0.06
Cs 0.806 0.806 0.375  0.00

Output
The value obtained for the energy relative to the elements, uncorrected is -2.091 eV/atom. The value obtained for the calculated volume is 16.9 Å³/atom. As for the space-group type: No. 12. The calculation puts the size of the total moment at 1.0 μB/f.u.

***

VASP calculation (GGA-PBE) on an optimized crystal structure of Pm3Ag3SnSe8.

Lattice parameters (Å, degrees): 8.443 8.440 8.149 121.31 90.00 120.01
Positions (direct):
Se 0.237 0.474 0.744
Ag 0.000 0.000 0.000
Se 0.763 0.992 0.256
Se 0.763 0.526 0.256
Se 0.771 0.008 0.744
Se 0.749 0.498 0.746
Pm 0.500 0.500 0.500
Sn 0.000 0.000 0.500
Ag 0.000 0.500 0.000
Se 0.251 0.502 0.254
Ag 0.500 0.500 0.000
Se 0.237 0.008 0.744
Se 0.229 0.992 0.256
Pm 0.000 0.500 0.500
Pm 0.500 0.000 0.500

Output
The value obtained for the energy relative to the elements, uncorrected is -0.977 eV/atom. The value obtained for the calculated volume is 26.8 Å³/atom. As for the space-group type: No. 12. The calculation puts the size of the total moment at 0.0 μB/f.u.

***

VASP calculation (GGA-PBE) on an optimized crystal structure of Pr2Tl3PbS6.

Lattice parameters (Å, degrees): 7.341 7.341 7.635 99.08 99.08 120.08
Positions (direct):
Tl 0.167 0.833 0.500
S 0.583 0.928 0.782
S 0.072 0.417 0.218
S 0.273 0.273 0.784
Pb 0.000 0.000 0.000
Pr 0.667 0.333 0.000
Pr 0.333 0.667 0.000
S 0.928 0.583 0.782
S 0.727 0.727 0.216
Tl 0.833 0.167 0.500
S 0.417 0.072 0.218
Tl 0.500 0.500 0.500

Output
The value obtained for the energy relative to the elements, uncorrected is -1.052 eV/atom. The value obtained for the calculated volume is 28.2 Å³/atom. As for the space-group type: No. 12. The calculation puts the size of the total moment at 0.0 μB/f.u.

***

VASP calculation (GGA-PBE) on an optimized crystal structure of Sc2CuSi4Pt3.

Lattice parameters (Å, degrees): 3.932 3.932 10.481 90.00 90.00 90.00
Positions (direct):
Si 0.000 0.500 0.363
Pt 0.000 0.000 0.500
Sc 0.500 0.000 0.270
Sc 0.000 0.500 0.730
Pt 0.000 0.500 0.137
Pt 0.500 0.000 0.863
Cu 0.500 0.500 0.500
Si 0.500 0.000 0.637
Si 0.500 0.500 0.000
Si 0.000 0.000 0.000

Output
The value obtained for the energy relative to the elements, uncorrected is -0.872 eV/atom. The value obtained for the calculated volume is 16.2 Å³/atom. As for the space-group type: No. 115. The calculation puts the size of the total moment at 0.0 μB/f.u.

***

VASP calculation (GGA-PBE) on an optimized crystal structure of PmGa4Cu2Au.

Lattice parameters (Å, degrees): 4.249 4.249 9.515 77.10 77.10 60.00
Positions (direct):
Ga 0.120 0.120 0.639
Au 0.500 0.500 0.500
Ga 0.399 0.399 0.802
Ga 0.601 0.601 0.198
Ga 0.880 0.880 0.361
Cu 0.749 0.749 0.754
Pm 0.000 0.000 0.000
Cu 0.251 0.251 0.246

Output
The formation enthalpy at 0 K comes out at -226 kJ/mol of formula units. The value obtained for the calculated volume is 18.0 Å³/atom. As for the space-group type: No. 166. The calculation puts the size of the total moment at 0.0 μB/f.u.

***

VASP calculation (GGA-PBE) on an optimized crystal structure of TmRh2.

Lattice parameters (Å, degrees): 5.303 5.303 5.303 60.00 60.00 60.00
Positions (direct):
Rh 0.125 0.125 0.625
Rh 0.125 0.125 0.125
Rh 0.125 0.625 0.125
Rh 0.625 0.125 0.125
Tm 0.500 0.500 0.500
Tm 0.750 0.750 0.750

Output
The formation enthalpy at 0 K comes out at -224 kJ/mol of formula units. The value obtained for the calculated volume is 17.6 Å³/atom. As for the space-group type: No. 227. The calculation puts the size of the total moment at 0.0 μB/f.u.

***

VASP calculation (GGA-PBE) on an optimized crystal structure of YTlBi3.

Lattice parameters (Å, degrees): 5.933 5.933 5.933 90.00 90.00 90.00
Positions (direct):
Y 0.000 0.000 0.000
Bi 0.000 0.500 0.000
Bi 0.500 0.000 0.000
Tl 0.500 0.500 0.500
Bi 0.000 0.000 0.500

Output
The formation enthalpy at 0 K comes out at 69 kJ/mol of formula units. The value obtained for the calculated volume is 41.8 Å³/atom. As for the space-group type: No. 221. The calculation puts the size of the total moment at 0.0 μB/f.u.

***

VASP calculation (GGA-PBE) on an optimized crystal structure of RbHgPdO2.

Lattice parameters (Å, degrees): 4.475 7.135 7.573 118.10 90.00 90.00
Each line ends with the local moment (μB).
Positions (direct):
Rb 0.218 0.750 0.500  0.00
O 0.370 0.400 0.800  0.14
Hg 0.000 0.000 0.000  0.00
Pd 0.500 0.750 0.000  0.58
Hg 0.000 0.500 0.000  0.00
Pd 0.500 0.250 0.000  0.58
O 0.630 0.600 0.200  0.14
Rb 0.782 0.250 0.500  0.00
O 0.370 0.100 0.200  0.14
O 0.630 0.900 0.800  0.14

Output
The value obtained for the energy relative to the elements, uncorrected is -0.391 eV/atom. The value obtained for the calculated volume is 21.3 Å³/atom. As for the space-group type: No. 67. The calculation puts the size of the total moment at 0.9 μB/f.u.

***

VASP calculation (GGA-PBE) on an optimized crystal structure of La5Ga5Ru2.

Lattice parameters (Å, degrees): 4.722 7.828 8.882 87.13 74.58 72.44
Positions (direct):
Ru 0.597 0.576 0.230
Ga 0.954 0.286 0.806
La 0.362 0.942 0.334
La 0.684 0.692 0.940
Ga 0.286 0.749 0.679
Ru 0.403 0.424 0.770
La 0.000 0.500 0.500
Ga 0.714 0.251 0.321
La 0.638 0.058 0.666
La 0.316 0.308 0.060
Ga 0.000 0.000 0.000
Ga 0.046 0.714 0.194

Output
The formation enthalpy at 0 K comes out at -585 kJ/mol of formula units. The value obtained for the calculated volume is 25.1 Å³/atom. As for the space-group type: No. 12. The calculation puts the size of the total moment at 0.0 μB/f.u.

***

VASP calculation (GGA-PBE) on an optimized crystal structure of Li3Mo.

Lattice parameters (Å, degrees): 2.609 2.609 9.953 90.00 90.00 105.70
Positions (direct):
Li 0.500 0.500 0.750
Li 0.000 0.000 0.489
Li 0.000 0.000 0.011
Mo 0.500 0.500 0.250

Output
The formation enthalpy at 0 K comes out at 90 kJ/mol of formula units. The value obtained for the calculated volume is 16.3 Å³/atom. As for the space-group type: No. 65. The calculation puts the size of the total moment at 0.0 μB/f.u.

***

VASP calculation (GGA-PBE) on an optimized crystal structure of HfScCoBi2.

Lattice parameters (Å, degrees): 5.124 5.124 4.721 90.00 90.00 90.00
Positions (direct):
Bi 0.000 0.500 0.000
Sc 0.500 0.500 0.500
Bi 0.500 0.000 0.000
Co 0.000 0.000 0.000
Hf 0.000 0.000 0.500

Output
The formation enthalpy at 0 K comes out at 150 kJ/mol of formula units. The value obtained for the calculated volume is 24.8 Å³/atom. As for the space-group type: No. 123. The calculation puts the size of the total moment at 0.0 μB/f.u.